Computed, not measured: TmCo3B2 at its PBEsol-relaxed geometry at the SCAN level of DFT.

ΔH_f (0 K) (eV per atom): -0.481

a b c (Å): 4.9030 4.9030 2.9760
angles (deg): 90.00 90.00 120.00
With the nearest neighbours (Å) after each atom.
Fractional positions:
Tm 0.0000 0.0000 0.0000  6 B 2.83, 12 Co 2.87, 2 Tm 2.98
Co 0.0000 0.5000 0.5000  4 B 2.05
Co 0.5000 0.0000 0.5000  4 B 2.05
Co 0.5000 0.5000 0.5000  4 B 2.05
B 0.3333 0.6667 0.0000  6 Co 2.05
B 0.6667 0.3333 0.0000  6 Co 2.05

---

Computed, not measured: K2PAu at its PBEsol-relaxed geometry at the SCAN level of DFT.

ΔH_f (0 K) (eV per atom): -0.053

a b c (Å): 4.3426 4.3426 4.8863
angles (deg): 90.00 90.00 90.00
With the nearest neighbours (Å) after each atom.
Fractional positions:
K 0.0000 0.5000 0.0000  4 K 3.07, 4 Au 3.27, 4 P 3.27
K 0.5000 0.0000 0.0000  4 K 3.07, 4 Au 3.27, 4 P 3.27
P 0.0000 0.0000 0.5000  4 Au 3.07, 8 K 3.27
Au 0.5000 0.5000 0.5000  4 P 3.07, 8 K 3.27

---

Computed, not measured: AlTcIr2 at its PBEsol-relaxed geometry at the SCAN level of DFT.

ΔH_f (0 K) (eV per atom): -0.336

a b c (Å): 3.8911 3.8911 3.7014
angles (deg): 90.00 90.00 90.00
With the nearest neighbours (Å) after each atom.
Fractional positions:
Al 0.0000 0.0000 0.0000  8 Ir 2.69, 4 Tc 2.75
Tc 0.5000 0.5000 0.0000  8 Ir 2.69, 4 Al 2.75
Ir 0.0000 0.5000 0.5000  4 Al 2.69, 4 Tc 2.69, 4 Ir 2.75
Ir 0.5000 0.0000 0.5000  4 Al 2.69, 4 Tc 2.69, 4 Ir 2.75

---

Computed, not measured: CuOsSe at its PBEsol-relaxed geometry at the SCAN level of DFT.

Formation energy (no corrections) (eV/atom): 0.822

a b c (Å): 4.0320 4.0320 4.0320
angles (deg): 60.00 60.00 60.00
With the nearest neighbours (Å) after each atom.
Fractional positions:
Cu 0.0000 0.0000 0.0000  4 Se 2.47
Os 0.5000 0.5000 0.5000  4 Se 2.47
Se 0.2500 0.2500 0.2500  4 Os 2.47, 4 Cu 2.47

---

Computed, not measured: TaSbMo2 at its PBEsol-relaxed geometry at the SCAN level of DFT.

Formation energy (no corrections) (eV/atom): 0.223

a b c (Å): 3.4642 4.2730 4.5829
angles (deg): 90.00 90.00 90.00
With the nearest neighbours (Å) after each atom.
Fractional positions:
Ta 0.0000 0.0000 0.0000  4 Mo 2.75, 4 Sb 2.87
Sb 0.5000 0.0000 0.5000  4 Mo 2.75, 4 Ta 2.87
Mo 0.0000 0.5000 0.5000  4 Sb 2.75, 4 Mo 2.87
Mo 0.5000 0.5000 0.0000  4 Ta 2.75, 4 Mo 2.87

---

Computed, not measured: Tl2NiRu at its PBEsol-relaxed geometry at the SCAN level of DFT.

ΔH_f (0 K) (eV per atom): 0.592

a b c (Å): 4.5526 4.5526 4.5526
angles (deg): 60.00 60.00 60.00
With the nearest neighbours (Å) after each atom.
Fractional positions:
Tl 0.2500 0.2500 0.2500  4 Ni 2.79, 4 Ru 2.79
Tl 0.7500 0.7500 0.7500  4 Ni 2.79, 4 Ru 2.79
Ni 0.0000 0.0000 0.0000  8 Tl 2.79
Ru 0.5000 0.5000 0.5000  8 Tl 2.79

---

Computed, not measured: Sc2BeAu at its PBEsol-relaxed geometry at the SCAN level of DFT.

ΔH_f (0 K) (eV per atom): 0.227

a b c (Å): 9.5573 9.5573 9.5573
angles (deg): 18.18 18.18 18.18
With the nearest neighbours (Å) after each atom.
Fractional positions:
Sc 0.0976 0.0976 0.0976  3 Be 2.61, 1 Au 2.75
Sc 0.9024 0.9024 0.9024  3 Be 2.61, 1 Au 2.75
Be 0.5000 0.5000 0.5000  6 Sc 2.61
Au 0.0000 0.0000 0.0000  2 Sc 2.75, 6 Au 3.02

---

Computed, not measured: ZnIrN2F at its PBEsol-relaxed geometry at the SCAN level of DFT.

Formation energy (no corrections) (eV/atom): 0.557

a b c (Å): 3.7848 3.7848 4.3849
angles (deg): 90.00 90.00 90.00
With the nearest neighbours (Å) after each atom.
Fractional positions:
Zn 0.0000 0.0000 0.0000  4 F 2.68, 8 N 2.90
Ir 0.5000 0.5000 0.5000  4 N 1.89
N 0.0000 0.5000 0.5000  2 Ir 1.89
N 0.5000 0.0000 0.5000  2 Ir 1.89
F 0.5000 0.5000 0.0000  2 Ir 2.19